{
  "formula": "AsWAu",
  "functional": "PBE",
  "state": "relaxed",
  "lattice_angstrom": [[4.500, 0.000, 0.000], [-2.250, 3.897, 0.000], [0.000, 0.000, 2.934]],
  "species": ["As", "W", "Au"],
  "fractional_positions": [[0.000, 0.000, 0.000], [0.333, 0.667, 0.000], [0.667, 0.333, 0.500]],
  "formation_enthalpy_0k_ev_per_fu": 1.537,
  "energy_ev_per_atom": -6.4477,
  "e_above_lowest_polymorph_mev_per_atom": 182,
  "crystal_system": "hexagonal",
  "magmom_total_mub_per_cell": 0.00
}